ZnCrO2F (GGA+U, optimized geometry); total magnetization = 3.54 μB per cell; E_tot = -5.0090 eV/atom
1.0
3.876 0.000 0.000
0.000 3.876 0.000
0.000 0.000 3.920
Zn Cr O F
1 1 2 1
Direct
0.000 0.000 0.000
0.500 0.500 0.500
0.000 0.500 0.000
0.500 0.000 0.000
0.000 0.000 0.500